## LaNbTcRu2 (GGA-PBE)

Data for crystalline LaNbTcRu2 at its relaxed geometry.

Cell lengths 4.699, 4.754, 4.699 Å; angles 90.00, 90.00, 90.00 degrees
Each line ends with the local moment (μB).
Fractional positions:
Ru 0.500 0.000 0.000  0.51
Ru 0.000 0.000 0.500  0.54
Tc 0.000 0.500 0.000  0.83
Nb 0.500 0.500 0.500  -0.93
La 0.000 0.000 0.000  -0.01

Results
Crystal system ... tetragonal
Formation energy from the elements ... 1.899 eV per atom
Total DFT energy (no corrections) ... -34.42 eV per cell
Density of states at the Fermi level ... 5.6 states/eV/f.u.

***

## LaYNbRu2 (GGA-PBE)

Data for crystalline LaYNbRu2 at its relaxed geometry.

Cell lengths 4.731, 5.245, 4.731 Å; angles 90.00, 90.00, 90.00 degrees
Fractional positions:
Ru 0.000 0.000 0.500
Ru 0.500 0.000 0.000
Y 0.000 0.500 0.000
La 0.000 0.000 0.000
Nb 0.500 0.500 0.500

Results
Crystal system ... tetragonal
Formation energy from the elements ... 1.525 eV per atom
Total DFT energy (no corrections) ... -32.39 eV per cell
Density of states at the Fermi level ... 7.4 states/eV/f.u.

***

## LaNb4S8 (GGA-PBE)

Data for crystalline LaNb4S8 at its relaxed geometry.

Cell lengths 6.869, 6.869, 7.889 Å; angles 99.73, 105.98, 119.32 degrees
Fractional positions:
S 0.217 0.035 0.251
S 0.681 0.499 0.180
S 0.796 0.480 0.781
S 0.204 0.520 0.219
S 0.300 0.985 0.781
S 0.700 0.015 0.219
S 0.783 0.965 0.749
S 0.319 0.501 0.820
La 0.000 0.500 0.500
Nb 0.206 0.206 0.000
Nb 0.794 0.794 0.000
Nb 0.232 0.775 0.007
Nb 0.768 0.225 0.993

Results
Crystal system ... monoclinic
Total DFT energy (no corrections) ... -94.61 eV per cell
Density of states at the Fermi level ... 7.5 states/eV/f.u.

***

## LaNbS3 (GGA-PBE)

Data for crystalline LaNbS3 at its relaxed geometry.

Cell lengths 4.796, 4.796, 4.796 Å; angles 90.00, 90.00, 90.00 degrees
Fractional positions:
Nb 0.000 0.000 0.000
S 0.000 0.500 0.000
S 0.000 0.000 0.500
S 0.500 0.000 0.000
La 0.500 0.500 0.500

Results
Crystal system ... cubic
Total DFT energy (no corrections) ... -33.73 eV per cell
Density of states at the Fermi level ... 3.3 states/eV/f.u.

***

## LaNbS3 (GGA-PBE)

Data for crystalline LaNbS3 at its relaxed geometry.

Cell lengths 3.601, 5.808, 10.653 Å; angles 88.29, 99.66, 89.92 degrees
Fractional positions:
Nb 0.686 0.213 0.597
Nb 0.182 0.629 0.588
S 0.470 0.149 0.169
S 0.604 0.531 0.431
S 0.746 0.825 0.719
S 0.397 0.693 0.016
S 0.121 0.017 0.466
S 0.264 0.311 0.754
La 0.863 0.099 0.955
La 0.004 0.743 0.230

Results
Crystal system ... triclinic
Total DFT energy (no corrections) ... -69.21 eV per cell
Density of states at the Fermi level ... 1.4 states/eV/f.u.

***

## LaNb2S6 (GGA-PBE)

Data for crystalline LaNb2S6 at its relaxed geometry.

Cell lengths 4.950, 6.449, 7.890 Å; angles 73.10, 71.72, 67.43 degrees
Fractional positions:
S 0.346 0.708 0.600
S 0.027 0.132 0.814
S 0.973 0.868 0.186
S 0.703 0.700 0.893
S 0.297 0.300 0.107
S 0.654 0.292 0.400
Nb 0.193 0.692 0.921
Nb 0.807 0.308 0.079
La 0.000 0.500 0.500

Results
Crystal system ... monoclinic
Total DFT energy (no corrections) ... -60.08 eV per cell
Density of states at the Fermi level ... 1.0 states/eV/f.u.

***

## LaNbS3 (GGA-PBE)

Data for crystalline LaNbS3 at its relaxed geometry.

Cell lengths 5.355, 5.355, 5.355 Å; angles 90.00, 90.00, 90.00 degrees
Each line ends with the local moment (μB).
Fractional positions:
S 0.500 0.000 0.000  -0.02
S 0.000 0.000 0.500  -0.08
S 0.000 0.500 0.000  -0.04
La 0.000 0.000 0.000  -0.01
Nb 0.500 0.500 0.500  0.41

Results
Crystal system ... cubic
Total DFT energy (no corrections) ... -25.37 eV per cell
Density of states at the Fermi level ... 11.5 states/eV/f.u.

***

## LaNbS2 (GGA-PBE)

Data for crystalline LaNbS2 at its relaxed geometry.

Cell lengths 5.738, 5.738, 7.615 Å; angles 67.87, 67.87, 90.00 degrees
Each line ends with the local moment (μB).
Fractional positions:
S 0.193 0.625 0.250  0.00
S 0.875 0.807 0.750  -0.01
S 0.557 0.125 0.250  0.00
S 0.375 0.443 0.750  -0.01
La 0.750 0.250 0.500  0.01
La 0.000 0.000 0.000  0.01
Nb 0.500 0.500 0.000  0.38
Nb 0.250 0.750 0.500  0.37

Results
Crystal system ... tetragonal
Total DFT energy (no corrections) ... -54.23 eV per cell
Density of states at the Fermi level ... 3.9 states/eV/f.u.

***

Which formula does entry 6 have?
LaNb2S6